(1)
Crystalline Er2In2Ir at its relaxed geometry. Source: the Alexandria database, functional PBE.

Structure (CIF):
```
data_Er2In2Ir
_chemical_formula_sum 'Er4 In4 Ir2'
_symmetry_space_group_name_H-M 'I 4/m m m'
_symmetry_Int_Tables_number 139
_symmetry_space_group_name_Hall '-I 4 2'
_cell_length_a 3.440
_cell_length_b 3.440
_cell_length_c 20.012
_cell_angle_alpha 90.00
_cell_angle_beta 90.00
_cell_angle_gamma 90.00
loop_
_atom_site_label
_atom_site_fract_x
_atom_site_fract_y
_atom_site_fract_z
Er1 0.000 0.000 0.082
In1 0.000 0.000 0.302
Ir1 0.000 0.000 0.500
```

Output
Mass density ... 10.606 g/cm3
Electronic total energy ... -5.210 eV/atom
Energy of formation ... -249 kJ/mol of formula units

(2)
Crystalline CeHo8Er3 at its relaxed geometry. Source: the Alexandria database, functional PBE.

Structure (CIF):
```
data_CeHo8Er3
_chemical_formula_sum 'Ce2 Ho16 Er6'
_symmetry_space_group_name_H-M 'I 4/m m m'
_symmetry_Int_Tables_number 139
_symmetry_space_group_name_Hall '-I 4 2'
_cell_length_a 7.602
_cell_length_b 7.602
_cell_length_c 15.233
_cell_angle_alpha 90.00
_cell_angle_beta 90.00
_cell_angle_gamma 90.00
loop_
_atom_site_label
_atom_site_fract_x
_atom_site_fract_y
_atom_site_fract_z
Ce1 0.000 0.000 0.000
Ho1 0.248 0.248 0.124
Er1 0.000 0.000 0.500
Er2 0.000 0.500 0.250
```

Output
Mass density ... 7.400 g/cm3
Electronic total energy ... -3.925 eV/atom
Energy of formation ... 883 kJ/mol of formula units

Copy entry 1 word for word.
Crystalline Er2In2Ir at its relaxed geometry. Source: the Alexandria database, functional PBE.

Structure (CIF):
```
data_Er2In2Ir
_chemical_formula_sum 'Er4 In4 Ir2'
_symmetry_space_group_name_H-M 'I 4/m m m'
_symmetry_Int_Tables_number 139
_symmetry_space_group_name_Hall '-I 4 2'
_cell_length_a 3.440
_cell_length_b 3.440
_cell_length_c 20.012
_cell_angle_alpha 90.00
_cell_angle_beta 90.00
_cell_angle_gamma 90.00
loop_
_atom_site_label
_atom_site_fract_x
_atom_site_fract_y
_atom_site_fract_z
Er1 0.000 0.000 0.082
In1 0.000 0.000 0.302
Ir1 0.000 0.000 0.500
```

Output
Mass density ... 10.606 g/cm3
Electronic total energy ... -5.210 eV/atom
Energy of formation ... -249 kJ/mol of formula units